The following is a DFT calculation (PBE) of a geometry-optimized Zr2IrW structure.

## Properties
ΔH_f (0 K) = -0.1314 eV per atom
Mass density = 12.774 g/cm³

a = 2.9418 Å, b = 4.5227 Å, c = 5.5296 Å
α = 90.00°, β = 99.30°, γ = 90.00°
Last column: nearest neighbours and their distance in Å.
Fractional coordinates of all 4 atoms:
Zr (0.2380, 0.0000, 0.2491)  2 W 2.80, 2 Ir 2.82, 4 Zr 2.88-2.95
Zr (0.7620, 0.0000, 0.7509)  2 W 2.80, 2 Ir 2.82, 4 Zr 2.88-2.95
Ir (0.5000, 0.5000, 0.0000)  4 Zr 2.82, 2 W 2.91, 2 Ir 2.94
W (0.0000, 0.5000, 0.5000)  4 Zr 2.80, 2 Ir 2.91, 2 W 2.94